No. 1
## Cs2AgSbCl6 (PBE-GGA)

Data for crystalline Cs2AgSbCl6 at its relaxed geometry.

Cell and atoms, written as POSCAR:
```
Cs2AgSbCl6
1.0
6.574 -3.799 0.000
6.574 3.799 0.000
-4.379 0.000 6.202
Ag Cl Cs Sb
1 6 2 1
Direct
0.500 0.500 0.500 Ag
0.752 0.247 0.247 Cl
0.247 0.752 0.247 Cl
0.248 0.248 0.248 Cl
0.752 0.752 0.752 Cl
0.753 0.248 0.753 Cl
0.248 0.753 0.753 Cl
0.750 0.750 0.250 Cs
0.250 0.250 0.750 Cs
0.000 0.000 0.000 Sb
```

Results
- symmetry = C2/m, No. 12



No. 2
## GdHoSi2W2C (PBE-GGA)

Data for crystalline GdHoSi2W2C at its relaxed geometry.

Cell and atoms, written as POSCAR:
```
GdHoSi2W2C
1.0
-4.478 0.954 3.677
-2.481 -2.098 4.892
5.969 3.917 0.024
C Gd Ho Si W
1 1 1 2 2
Direct
0.001 0.001 0.003 C
0.425 0.425 0.702 Gd
0.574 0.574 0.295 Ho
0.868 0.868 0.337 Si
0.132 0.132 0.661 Si
0.208 0.208 0.084 W
0.793 0.793 0.917 W
```

Results
- symmetry = Cm, No. 8
- size of the total moment (μB per atom) = 0.000



No. 3
## ZrTlTe2PdSe (PBE-GGA)

Data for crystalline ZrTlTe2PdSe at its relaxed geometry.

Cell and atoms, written as POSCAR:
```
ZrTlTe2PdSe
1.0
-8.207 -2.094 -1.080
0.752 -1.050 -3.678
5.861 -8.451 3.610
Pd Se Te Tl Zr
2 2 4 2 2
Direct
0.581 0.750 0.110 Pd
0.419 0.250 0.890 Pd
0.576 0.750 0.346 Se
0.424 0.250 0.654 Se
0.763 0.250 0.054 Te
0.062 0.750 0.381 Te
0.938 0.250 0.619 Te
0.237 0.750 0.946 Te
0.236 0.250 0.215 Tl
0.764 0.750 0.785 Tl
0.777 0.250 0.322 Zr
0.223 0.750 0.678 Zr
```

Results
- symmetry = P2_1/m, No. 11
- size of the total moment (μB per atom) = 0.001



No. 4
## Sm3Re2W3N12 (PBE-GGA)

Data for crystalline Sm3Re2W3N12 at its relaxed geometry.

Cell and atoms, written as POSCAR:
```
Sm3Re2W3N12
1.0
-3.756 1.197 10.392
7.038 8.269 -2.371
-8.558 0.272 -7.087
N Re Sm W
48 8 12 12
Direct
0.196 0.114 0.016 N
0.320 0.902 0.016 N
0.886 0.402 0.082 N
0.696 0.680 0.082 N
0.614 0.418 0.098 N
0.984 0.680 0.098 N
0.016 0.196 0.114 N
0.598 0.918 0.114 N
0.196 0.582 0.180 N
0.484 0.598 0.180 N
0.114 0.016 0.196 N
0.582 0.180 0.196 N
0.484 0.386 0.304 N
0.320 0.918 0.304 N
0.902 0.016 0.320 N
0.918 0.304 0.320 N
0.304 0.484 0.386 N
0.582 0.902 0.386 N
0.820 0.516 0.402 N
0.082 0.886 0.402 N
0.098 0.614 0.418 N
0.820 0.804 0.418 N
0.598 0.180 0.484 N
0.386 0.304 0.484 N
0.614 0.696 0.516 N
0.402 0.820 0.516 N
0.180 0.196 0.582 N
0.902 0.386 0.582 N
0.918 0.114 0.598 N
0.180 0.484 0.598 N
0.418 0.098 0.614 N
0.696 0.516 0.614 N
0.082 0.696 0.680 N
0.098 0.984 0.680 N
0.680 0.082 0.696 N
0.516 0.614 0.696 N
0.418 0.820 0.804 N
0.886 0.984 0.804 N
0.516 0.402 0.820 N
0.804 0.418 0.820 N
0.402 0.082 0.886 N
0.984 0.804 0.886 N
0.016 0.320 0.902 N
0.386 0.582 0.902 N
0.304 0.320 0.918 N
0.114 0.598 0.918 N
0.680 0.098 0.984 N
0.804 0.886 0.984 N
0.000 0.000 0.000 Re
0.500 0.000 0.000 Re
0.000 0.500 0.000 Re
0.500 0.500 0.000 Re
0.000 0.000 0.500 Re
0.500 0.000 0.500 Re
0.000 0.500 0.500 Re
0.500 0.500 0.500 Re
0.250 0.375 0.125 Sm
0.375 0.750 0.125 Sm
0.375 0.125 0.250 Sm
0.875 0.625 0.250 Sm
0.750 0.125 0.375 Sm
0.125 0.250 0.375 Sm
0.875 0.750 0.625 Sm
0.250 0.875 0.625 Sm
0.125 0.375 0.750 Sm
0.625 0.875 0.750 Sm
0.625 0.250 0.875 Sm
0.750 0.625 0.875 Sm
0.875 0.250 0.125 W
0.750 0.875 0.125 W
0.625 0.375 0.250 W
0.125 0.875 0.250 W
0.250 0.625 0.375 W
0.625 0.750 0.375 W
0.375 0.250 0.625 W
0.750 0.375 0.625 W
0.875 0.125 0.750 W
0.375 0.625 0.750 W
0.250 0.125 0.875 W
0.125 0.750 0.875 W
```

Results
- symmetry = Ia-3d, No. 230
- size of the total moment (μB per atom) = 0.046



Number 1: final energy -32.676 eV/f.u.. Number 2: final energy -59.019 eV/f.u.. Number 3: final energy -30.198 eV/f.u.. Number 4: final energy -190.530 eV/f.u..